## NaCd5Sn6 (GGA-PBE)

Data for a relaxed NaCd5Sn6 crystal.

a b c (Å): 10.2990 9.9871 6.1075
angles (deg): 90.00 98.84 90.00
Space group C2/m (No. 12)
Unique sites:
Na 0.0000 0.0000 0.0000 (multiplicity 2)
Cd 0.0000 0.1604 0.5000 (multiplicity 4)
Cd 0.0000 0.3331 0.0000 (multiplicity 4)
Cd 0.0000 0.5000 0.5000 (multiplicity 2)
Sn 0.2426 0.5000 0.2444 (multiplicity 4)
Sn 0.2450 0.3313 0.7421 (multiplicity 8)

E_form ... 0.026 eV/atom
Total magnetic moment ... 0.000 μB/atom
Density of states at the Fermi level ... 0.413 states/eV per atom
Mass density ... 6.94 g/cm³